Compound: Li2MnF4
Source: Alexandria via LeMat-Bulk
Functional: PBE with a Hubbard U
Structure: relaxed

```
data_Li2MnF4
_chemical_formula_sum 'Li4 Mn2 F8'
_cell_length_a 4.181
_cell_length_b 4.181
_cell_length_c 9.081
_cell_angle_alpha 90.00
_cell_angle_beta 90.00
_cell_angle_gamma 90.00
_symmetry_space_group_name_H-M 'I 4/m m m'
_symmetry_Int_Tables_number 139
_symmetry_space_group_name_Hall '-I 4 2'
loop_
_atom_site_label
_atom_site_type_symbol
_atom_site_fract_x
_atom_site_fract_y
_atom_site_fract_z
Li1 Li 0.000 0.500 0.250
Mn1 Mn 0.000 0.000 0.000
F1 F 0.000 0.000 0.236
F2 F 0.000 0.500 0.000
```

- offset from the most stable computed form (meV per atom) = 49.7
- DFT total energy (eV/atom) = -5.4534
- M_tot (μB per formula unit) = 5.0